An optimized crystal structure of HfGaCoAu, computed with GGA-PBE.

Lattice parameters (Å, degrees): 4.493 4.493 4.493 60.00 60.00 60.00
Atoms (fractional coordinates):
1 Hf 0.000 0.000 0.000
2 Ga 0.250 0.250 0.250
3 Co 0.500 0.500 0.500
4 Au 0.750 0.750 0.750

Space group: F-43m (216)
E above lowest polymorph, meV per atom: 84.7

***

An optimized crystal structure of HfGaCoAu, computed with GGA-PBE.

Lattice parameters (Å, degrees): 4.503 4.503 4.503 60.00 60.00 60.00
Atoms (fractional coordinates):
1 Hf 0.000 0.000 0.000
2 Ga 0.500 0.500 0.500
3 Co 0.750 0.750 0.750
4 Au 0.250 0.250 0.250

Space group: F-43m (216)
E above lowest polymorph, meV per atom: 0.0

***

An optimized crystal structure of GaCoHgAu, computed with GGA-PBE.

Lattice parameters (Å, degrees): 4.556 4.556 4.556 60.00 60.00 60.00
Atoms (fractional coordinates):
1 Ga 0.000 0.000 0.000
2 Co 0.250 0.250 0.250
3 Hg 0.500 0.500 0.500
4 Au 0.750 0.750 0.750

Space group: F-43m (216)
E above lowest polymorph, meV per atom: 0.0

***

An optimized crystal structure of GaCoMoAu, computed with GGA-PBE.

Lattice parameters (Å, degrees): 4.386 4.386 4.386 60.00 60.00 60.00
Atoms (fractional coordinates):
1 Ga 0.000 0.000 0.000
2 Co 0.250 0.250 0.250
3 Mo 0.500 0.500 0.500
4 Au 0.750 0.750 0.750

Space group: F-43m (216)
E above lowest polymorph, meV per atom: 66.4

***

An optimized crystal structure of GaCoMoAu, computed with GGA-PBE.

Lattice parameters (Å, degrees): 4.367 4.367 4.367 60.00 60.00 60.00
Atoms (fractional coordinates):
1 Ga 0.000 0.000 0.000
2 Co 0.250 0.250 0.250
3 Mo 0.750 0.750 0.750
4 Au 0.500 0.500 0.500

Space group: F-43m (216)
E above lowest polymorph, meV per atom: 0.0

***

An optimized crystal structure of GaCoNiAu, computed with GGA-PBE.

Lattice parameters (Å, degrees): 4.245 4.245 4.245 60.00 60.00 60.00
Atoms (fractional coordinates):
1 Ga 0.000 0.000 0.000
2 Co 0.250 0.250 0.250
3 Ni 0.750 0.750 0.750
4 Au 0.500 0.500 0.500

Space group: F-43m (216)
E above lowest polymorph, meV per atom: 0.0

***

An optimized crystal structure of GaCoNiAu, computed with GGA-PBE.

Lattice parameters (Å, degrees): 4.248 4.248 4.248 60.00 60.00 60.00
Atoms (fractional coordinates):
1 Ga 0.000 0.000 0.000
2 Co 0.250 0.250 0.250
3 Ni 0.500 0.500 0.500
4 Au 0.750 0.750 0.750

Space group: F-43m (216)
E above lowest polymorph, meV per atom: 53.6

***

Number 1: electronic total energy -6.034 eV per atom. Number 2: electronic total energy -6.119 eV per atom. Number 3: electronic total energy -3.179 eV per atom. Number 4: electronic total energy -5.753 eV per atom. Number 5: electronic total energy -5.820 eV per atom. Number 6: electronic total energy -4.778 eV per atom. Number 7: electronic total energy -4.724 eV per atom.